Version a
First-principles (GGA-PBE) data for a relaxed RbZrSCl2 crystal, as listed in the Alexandria database.

Calculated values
SG: P4/mmm (123)
Spin magnetization, μB/f.u.: 1.31

Cell: 5.5771 5.5771 5.5464 Å, 90.00 90.00 90.00°
Closest atoms and distances in Å follow each position.
Element x y z (fractional)
Cl1 0.5000 0.0000 0.0000  2 Rb 2.79
Rb1 0.0000 0.0000 0.0000  2 S 2.77, 4 Cl 2.79
Cl2 0.0000 0.5000 0.0000  2 Rb 2.79
Zr1 0.5000 0.5000 0.5000  8 Cl 3.93, 4 S 3.94
S1 0.0000 0.0000 0.5000  2 Rb 2.77

=====

Version b
First-principles (GGA-PBE) data for a relaxed RbZrSCl2 crystal, as listed in the Alexandria database.

Calculated values
SG: P4/mmm (123)
Spin magnetization, μB/f.u.: 0.00

Cell: 5.1835 5.1835 5.0196 Å, 90.00 90.00 90.00°
Closest atoms and distances in Å follow each position.
Element x y z (fractional)
Cl1 0.0000 0.5000 0.0000  2 Zr 2.59
Rb1 0.5000 0.5000 0.5000  8 Cl 3.61, 4 S 3.67
Zr1 0.0000 0.0000 0.0000  2 S 2.51, 4 Cl 2.59
S1 0.0000 0.0000 0.5000  2 Zr 2.51
Cl2 0.5000 0.0000 0.0000  2 Zr 2.59

=====

It turns out version b is the most stable, with the second structure 1.929 eV/atom higher.

=====

Version a
First-principles (GGA-PBE) data for a relaxed RbSb2Cl crystal, as listed in the Alexandria database.

Calculated values
SG: I-42d (122)
Spin magnetization, μB/f.u.: 0.00

Cell: 4.4412 4.4412 18.6784 Å, 83.17 83.17 90.00°
Closest atoms and distances in Å follow each position.
Element x y z (fractional)
Sb1 0.8750 0.8221 0.7500  2 Sb 2.83
Cl1 0.2500 0.7500 0.5000  4 Rb 3.14
Sb2 0.3750 0.4279 0.7500  2 Sb 2.83
Cl2 0.5000 0.5000 0.0000  4 Rb 3.14
Rb1 0.7500 0.2500 0.5000  4 Cl 3.14
Sb3 0.5721 0.1250 0.2500  2 Sb 2.83
Rb2 0.0000 0.0000 0.0000  4 Cl 3.14
Sb4 0.1779 0.6250 0.2500  2 Sb 2.83

=====

Version b
First-principles (GGA-PBE) data for a relaxed RbSb2Cl crystal, as listed in the Alexandria database.

Calculated values
SG: Fm-3m (225)
Spin magnetization, μB/f.u.: 0.00

Cell: 5.6523 5.6523 5.6523 Å, 60.00 60.00 60.00°
Closest atoms and distances in Å follow each position.
Element x y z (fractional)
Sb1 0.2500 0.2500 0.2500  4 Rb 3.46, 4 Cl 3.46
Cl1 0.0000 0.0000 0.0000  8 Sb 3.46
Sb2 0.7500 0.7500 0.7500  4 Rb 3.46, 4 Cl 3.46
Rb1 0.5000 0.5000 0.5000  8 Sb 3.46

=====

It turns out version a is the most stable, with the second structure 0.908 eV/atom higher.

=====

Version a
First-principles (GGA-PBE) data for a relaxed RbSb2Cl6 crystal, as listed in the Alexandria database.

Calculated values
SG: P-31m (162)
Spin magnetization, μB/f.u.: 0.68

Cell: 6.8315 7.4731 7.4731 Å, 120.00 90.00 90.00°
Closest atoms and distances in Å follow each position.
Element x y z (fractional)
Rb1 0.0000 0.0000 0.0000  6 Cl 3.39
Cl1 0.2946 0.3655 0.3655  2 Sb 2.76
Sb1 0.5000 0.3333 0.6667  6 Cl 2.76
Cl2 0.2946 0.0000 0.6345  2 Sb 2.76
Cl3 0.7054 0.6345 0.6345  2 Sb 2.76
Cl4 0.7054 0.3655 0.0000  2 Sb 2.76
Cl5 0.7054 0.0000 0.3655  2 Sb 2.76
Sb2 0.5000 0.6667 0.3333  6 Cl 2.76
Cl6 0.2946 0.6345 0.0000  2 Sb 2.76

=====

Version b
First-principles (GGA-PBE) data for a relaxed RbSb2Cl6 crystal, as listed in the Alexandria database.

Calculated values
SG: C2/m (12)
Spin magnetization, μB/f.u.: 0.00

Cell: 5.7962 7.2756 9.4271 Å, 73.00 72.10 66.53°
Closest atoms and distances in Å follow each position.
Element x y z (fractional)
Cl1 0.6930 0.6885 0.9256  3 Sb 2.86-2.91
Sb1 0.1810 0.7257 0.9123  2 Cl 2.48-2.57
Cl2 0.3524 0.6396 0.6557  1 Sb 2.48
Cl3 0.9534 0.8897 0.2035  1 Sb 2.57
Sb2 0.8190 0.2743 0.0877  2 Cl 2.48-2.57
Cl4 0.6476 0.3604 0.3443  1 Sb 2.48
Cl5 0.3070 0.3115 0.0744  3 Sb 2.86-2.91
Rb1 0.0000 0.5000 0.5000  6 Cl 3.34-3.42
Cl6 0.0466 0.1103 0.7965  1 Sb 2.57

=====

It turns out version b is the most stable, with the second structure 0.055 eV/atom higher.

=====

Version a
First-principles (GGA-PBE) data for a relaxed RbSb2Cl2 crystal, as listed in the Alexandria database.

Calculated values
SG: I4/mmm (139)
Spin magnetization, μB/f.u.: 0.00

Cell: 4.2486 4.2486 9.4707 Å, 77.04 77.04 90.00°
Closest atoms and distances in Å follow each position.
Element x y z (fractional)
Sb1 0.2500 0.7500 0.5000  4 Sb 3.00
Sb2 0.7500 0.2500 0.5000  4 Sb 3.00
Rb1 0.0000 0.0000 0.0000  8 Cl 3.51
Cl1 0.6014 0.6014 0.7972  4 Sb 3.41, 4 Rb 3.51, 1 Cl 3.64
Cl2 0.3986 0.3986 0.2028  4 Sb 3.41, 4 Rb 3.51, 1 Cl 3.64

=====

Version b
First-principles (GGA-PBE) data for a relaxed RbSb2Cl2 crystal, as listed in the Alexandria database.

Calculated values
SG: P4/mbm (127)
Spin magnetization, μB/f.u.: 0.00

Cell: 9.9767 9.9767 3.2548 Å, 90.00 90.00 90.00°
Closest atoms and distances in Å follow each position.
Element x y z (fractional)
Sb1 0.7805 0.2805 0.5000  2 Cl 2.73
Sb2 0.2805 0.2195 0.5000  2 Cl 2.73
Rb1 0.0000 0.0000 0.0000  2 Rb 3.25
Sb3 0.2195 0.7195 0.5000  2 Cl 2.73
Cl1 0.6252 0.1252 0.0000  2 Sb 2.73
Cl2 0.1252 0.3748 0.0000  2 Sb 2.73
Cl3 0.3748 0.8748 0.0000  2 Sb 2.73
Cl4 0.8748 0.6252 0.0000  2 Sb 2.73
Sb4 0.7195 0.7805 0.5000  2 Cl 2.73
Rb2 0.5000 0.5000 0.0000  2 Rb 3.25

=====

It turns out version a is the most stable, with the second structure 0.451 eV/atom higher.

=====

Version a
First-principles (GGA-PBE) data for a relaxed RbSbCl3 crystal, as listed in the Alexandria database.

Calculated values
SG: Pm-3m (221)
Spin magnetization, μB/f.u.: 1.00

Cell: 5.8095 5.8095 5.8095 Å, 90.00 90.00 90.00°
Closest atoms and distances in Å follow each position.
Element x y z (fractional)
Sb1 0.5000 0.5000 0.5000  12 Cl 4.11
Cl1 0.0000 0.0000 0.5000  2 Rb 2.90
Rb1 0.0000 0.0000 0.0000  6 Cl 2.90
Cl2 0.0000 0.5000 0.0000  2 Rb 2.90
Cl3 0.5000 0.0000 0.0000  2 Rb 2.90

=====

Version b
First-principles (GGA-PBE) data for a relaxed RbSbCl3 crystal, as listed in the Alexandria database.

Calculated values
SG: Pm-3m (221)
Spin magnetization, μB/f.u.: 0.00

Cell: 5.5481 5.5481 5.5481 Å, 90.00 90.00 90.00°
Closest atoms and distances in Å follow each position.
Element x y z (fractional)
Cl1 0.0000 0.5000 0.0000  2 Sb 2.77
Cl2 0.5000 0.0000 0.0000  2 Sb 2.77
Rb1 0.5000 0.5000 0.5000  12 Cl 3.92
Sb1 0.0000 0.0000 0.0000  6 Cl 2.77
Cl3 0.0000 0.0000 0.5000  2 Sb 2.77

=====

Version c
First-principles (GGA-PBE) data for a relaxed RbSbCl3 crystal, as listed in the Alexandria database.

Calculated values
SG: P2_1/m (11)
Spin magnetization, μB/f.u.: 0.00

Cell: 6.1160 8.7614 13.1518 Å, 99.45 90.00 90.00°
Closest atoms and distances in Å follow each position.
Element x y z (fractional)
Cl1 0.2500 0.6969 0.6359  1 Sb 2.51
Cl2 0.2499 0.2061 0.5584  1 Sb 2.68
Rb1 0.7500 0.0387 0.6713  5 Cl 3.28-3.58
Rb2 0.2500 0.4613 0.8287  5 Cl 3.28-3.58
Cl3 0.2500 0.5838 0.3143  1 Sb 2.61
Sb1 0.7500 0.0242 0.0120  3 Cl 2.51-2.68
Cl4 0.7500 0.9162 0.1857  1 Sb 2.61
Cl5 0.7501 0.7939 0.4416  1 Sb 2.68
Rb3 0.2500 0.9613 0.3287  5 Cl 3.28-3.58
Cl6 0.7500 0.3031 0.3641  1 Sb 2.51
Cl7 0.2500 0.1969 0.1359  1 Sb 2.51
Sb2 0.7500 0.5242 0.5120  3 Cl 2.51-2.68
Cl8 0.7500 0.4162 0.6857  1 Sb 2.61
Cl9 0.7500 0.8031 0.8641  1 Sb 2.51
Cl10 0.2501 0.7061 0.0584  1 Sb 2.68
Sb3 0.2500 0.4758 0.4880  3 Cl 2.51-2.68
Cl11 0.2500 0.0838 0.8143  1 Sb 2.61
Cl12 0.7499 0.2939 0.9416  1 Sb 2.68
Sb4 0.2500 0.9758 0.9880  3 Cl 2.51-2.68
Rb4 0.7500 0.5387 0.1713  5 Cl 3.28-3.58

=====

It turns out version c is the most stable, with the second structure 0.113 eV/atom higher.

=====

Version a
First-principles (GGA-PBE) data for a relaxed Rb2SrSbCl6 crystal, as listed in the Alexandria database.

Calculated values
SG: I4/mmm (139)
Spin magnetization, μB/f.u.: 1.00

Cell: 7.7950 7.7950 8.3394 Å, 62.14 62.14 90.00°
Closest atoms and distances in Å follow each position.
Element x y z (fractional)
Cl1 0.2739 0.2739 0.4522  1 Sr 2.83
Sr1 0.5000 0.5000 0.0000  6 Cl 2.83-2.86
Rb1 0.7500 0.2500 0.5000  12 Cl 3.91-4.17
Cl2 0.2408 0.7592 0.0000  1 Sb 2.65, 1 Sr 2.86
Cl3 0.7592 0.7592 0.0000  1 Sb 2.65, 1 Sr 2.86
Cl4 0.7592 0.2408 0.0000  1 Sb 2.65, 1 Sr 2.86
Cl5 0.7261 0.7261 0.5478  1 Sr 2.83
Cl6 0.2408 0.2408 0.0000  1 Sb 2.65, 1 Sr 2.86
Sb1 0.0000 0.0000 0.0000  4 Cl 2.65
Rb2 0.2500 0.7500 0.5000  12 Cl 3.91-4.17

=====

Version b
First-principles (GGA-PBE) data for a relaxed Rb2SrSbCl6 crystal, as listed in the Alexandria database.

Calculated values
SG: C2 (5)
Spin magnetization, μB/f.u.: 1.00

Cell: 7.0905 7.6635 8.5137 Å, 116.75 112.28 90.00°
Closest atoms and distances in Å follow each position.
Element x y z (fractional)
Rb1 0.7142 0.2106 0.4853  6 Cl 3.23-3.52
Cl1 0.7989 0.7454 0.3877  1 Sr 2.83
Sb1 0.9999 0.9946 0.9999  4 Cl 2.62-2.74
Cl2 0.2833 0.8300 0.1550  1 Sb 2.62
Rb2 0.2857 0.7252 0.5144  6 Cl 3.23-3.52
Cl3 0.6826 0.1557 0.8484  1 Sb 2.74, 1 Sr 2.93
Cl4 0.3170 0.3072 0.1512  1 Sb 2.73, 1 Sr 2.93
Cl5 0.2010 0.3575 0.6118  1 Sr 2.83
Sr1 0.4999 0.5032 0.9998  6 Cl 2.83-2.99
Cl6 0.7166 0.6746 0.8445  1 Sb 2.62

=====

It turns out version b is the most stable, with the second structure 0.054 eV/atom higher.

=====

Version a
First-principles (GGA-PBE) data for a relaxed RbTiSbCl2 crystal, as listed in the Alexandria database.

Calculated values
SG: P4/mmm (123)
Spin magnetization, μB/f.u.: 1.94

Cell: 5.5778 6.2548 5.5778 Å, 90.00 90.00 90.00°
Closest atoms and distances in Å follow each position.
Element x y z (fractional)
Cl1 0.0000 0.0000 0.5000  2 Rb 2.79
Sb1 0.5000 0.5000 0.5000  4 Ti 3.94, 8 Cl 4.19
Cl2 0.5000 0.0000 0.0000  2 Rb 2.79
Ti1 0.0000 0.5000 0.0000  2 Rb 3.13
Rb1 0.0000 0.0000 0.0000  4 Cl 2.79

=====

Version b
First-principles (GGA-PBE) data for a relaxed RbTiSbCl2 crystal, as listed in the Alexandria database.

Calculated values
SG: P4/mmm (123)
Spin magnetization, μB/f.u.: 2.68

Cell: 5.9274 5.3704 5.9274 Å, 90.00 90.00 90.00°
Closest atoms and distances in Å follow each position.
Element x y z (fractional)
Ti1 0.0000 0.5000 0.0000  2 Sb 2.69
Sb1 0.0000 0.0000 0.0000  2 Ti 2.69, 4 Cl 2.96
Cl1 0.0000 0.0000 0.5000  2 Sb 2.96
Rb1 0.5000 0.5000 0.5000  8 Cl 4.00, 4 Ti 4.19
Cl2 0.5000 0.0000 0.0000  2 Sb 2.96

=====

It turns out version b is the most stable, with the second structure 0.769 eV/atom higher.

=====

Version a
First-principles (GGA-PBE) data for a relaxed Rb2TlSbCl6 crystal, as listed in the Alexandria database.

Calculated values
SG: P2_1/c (14)
Spin magnetization, μB/f.u.: 0.00

Cell: 7.7203 8.1697 11.1111 Å, 90.00 89.74 90.00°
Closest atoms and distances in Å follow each position.
Element x y z (fractional)
Cl1 0.6092 0.0393 0.2727  1 Sb 2.68
Cl2 0.1719 0.2263 0.0615  1 Sb 2.69
Tl1 0.0000 0.5000 0.5000  6 Cl 3.16-3.21
Rb1 0.5248 0.5710 0.7514  6 Cl 3.34-3.60
Sb1 0.0000 0.5000 0.0000  6 Cl 2.68-2.69
Cl3 0.8908 0.5393 0.2273  1 Sb 2.68
Cl4 0.6719 0.2737 0.5615  1 Sb 2.69
Cl5 0.3281 0.7263 0.4385  1 Sb 2.69
Cl6 0.3908 0.9607 0.7273  1 Sb 2.68
Cl7 0.7196 0.3200 0.9488  1 Sb 2.68
Rb2 0.9752 0.0710 0.7486  6 Cl 3.34-3.60
Cl8 0.1092 0.4607 0.7727  1 Sb 2.68
Cl9 0.2196 0.1800 0.4488  1 Sb 2.68
Cl10 0.2804 0.6800 0.0512  1 Sb 2.68
Sb2 0.5000 0.0000 0.5000  6 Cl 2.68-2.69
Cl11 0.7804 0.8200 0.5512  1 Sb 2.68
Rb3 0.0248 0.9290 0.2514  6 Cl 3.34-3.60
Cl12 0.8281 0.7737 0.9385  1 Sb 2.69
Tl2 0.5000 0.0000 0.0000  6 Cl 3.16-3.21
Rb4 0.4752 0.4290 0.2486  6 Cl 3.34-3.60

=====

Version b
First-principles (GGA-PBE) data for a relaxed Rb2TlSbCl6 crystal, as listed in the Alexandria database.

Calculated values
SG: Fm-3m (225)
Spin magnetization, μB/f.u.: 0.00

Cell: 8.0502 8.0502 8.0502 Å, 60.00 60.00 60.00°
Closest atoms and distances in Å follow each position.
Element x y z (fractional)
Cl1 0.7665 0.2335 0.2335  1 Sb 2.66
Cl2 0.2335 0.7665 0.7665  1 Sb 2.66
Rb1 0.2500 0.2500 0.2500  12 Cl 4.03
Tl1 0.5000 0.5000 0.5000  6 Cl 3.03
Sb1 0.0000 0.0000 0.0000  6 Cl 2.66
Cl3 0.7665 0.7665 0.2335  1 Sb 2.66
Cl4 0.2335 0.7665 0.2335  1 Sb 2.66
Cl5 0.7665 0.2335 0.7665  1 Sb 2.66
Rb2 0.7500 0.7500 0.7500  12 Cl 4.03
Cl6 0.2335 0.2335 0.7665  1 Sb 2.66

=====

It turns out version a is the most stable, with the second structure 0.043 eV/atom higher.